[1]
# PBE-GGA Ce4PuGe2, relaxed
data_Ce4PuGe2
_chemical_formula_sum 'Ce8 Pu2 Ge4'
_cell_length_a 5.495
_cell_length_b 5.495
_cell_length_c 11.860
_cell_angle_alpha 90.00
_cell_angle_beta 90.00
_cell_angle_gamma 90.00
_space_group_name_H-M_alt 'I 4/m m m'
_space_group_IT_number 139
_space_group_name_Hall '-I 4 2'
loop_
_atom_site_label
_atom_site_type_symbol
_atom_site_fract_x
_atom_site_fract_y
_atom_site_fract_z
Ce1 Ce 0.000 0.500 0.000
Ce2 Ce 0.000 0.500 0.250
Pu1 Pu 0.000 0.000 0.000
Ge1 Ge 0.000 0.000 0.369
# DOS(E_F)	27.10	states/eV/cell
# calculated density	8.807	Mg/m³
# crystal system	tetragonal
# ΔE_f	-0.16	eV/atom
# magnetic moment	1.029	μB per atom

[2]
# PBE-GGA Tb2CeHg, relaxed
data_Tb2CeHg
_chemical_formula_sum 'Tb6 Ce3 Hg3'
_cell_length_a 3.5962
_cell_length_b 3.5962
_cell_length_c 31.9709
_cell_angle_alpha 90.00
_cell_angle_beta 90.00
_cell_angle_gamma 120.00
_space_group_name_H-M_alt 'R 3 m'
_space_group_IT_number 160
_space_group_name_Hall 'R 3 -2"'
loop_
_atom_site_label
_atom_site_type_symbol
_atom_site_fract_x
_atom_site_fract_y
_atom_site_fract_z
Tb1 Tb 0.0000 0.0000 0.0000
Tb2 Tb 0.0000 0.0000 0.1815
Ce1 Ce 0.0000 0.0000 0.7575
Hg1 Hg 0.0000 0.0000 0.5909
# DOS(E_F)	21.46	states/eV/cell
# calculated density	9.162	Mg/m³
# crystal system	trigonal
# ΔE_f	-0.10	eV/atom
# magnetic moment	0.354	μB per atom

[3]
# PBE-GGA Ca2Zn5Au, relaxed
data_Ca2Zn5Au
_chemical_formula_sum 'Ca8 Zn20 Au4'
_cell_length_a 4.360
_cell_length_b 16.284
_cell_length_c 9.180
_cell_angle_alpha 90.00
_cell_angle_beta 90.00
_cell_angle_gamma 90.00
_space_group_name_H-M_alt 'C m c m'
_space_group_IT_number 63
_space_group_name_Hall '-C 2c 2'
loop_
_atom_site_label
_atom_site_type_symbol
_atom_site_fract_x
_atom_site_fract_y
_atom_site_fract_z
Ca1 Ca 0.000 0.000 0.000
Ca2 Ca 0.000 0.196 0.250
Zn1 Zn 0.000 0.187 0.612
Zn2 Zn 0.000 0.345 0.521
Zn3 Zn 0.000 0.395 0.250
Au1 Au 0.000 0.445 0.750
# DOS(E_F)	13.85	states/eV/cell
# calculated density	6.158	Mg/m³
# crystal system	orthorhombic
# ΔE_f	-0.36	eV/atom
# magnetic moment	0.000	μB per atom

[4]
# PBE-GGA Si2HgMo, relaxed
data_Si2HgMo
_chemical_formula_sum 'Si8 Hg4 Mo4'
_cell_length_a 6.113
_cell_length_b 6.113
_cell_length_c 10.235
_cell_angle_alpha 90.00
_cell_angle_beta 90.00
_cell_angle_gamma 90.00
_space_group_name_H-M_alt 'I -4 2 d'
_space_group_IT_number 122
_space_group_name_Hall 'I -4 2bw'
loop_
_atom_site_label
_atom_site_type_symbol
_atom_site_fract_x
_atom_site_fract_y
_atom_site_fract_z
Si1 Si 0.217 0.250 0.125
Hg1 Hg 0.000 0.000 0.500
Mo1 Mo 0.000 0.000 0.000
# DOS(E_F)	9.36	states/eV/cell
# calculated density	6.126	Mg/m³
# crystal system	tetragonal
# energy relative to the elements, uncorrected	0.8150	eV per atom
# magnetic moment	0.000	μB per atom

[5]
# PBE-GGA KCo2Si, relaxed
data_KCo2Si
_chemical_formula_sum 'K1 Co2 Si1'
_cell_length_a 2.675
_cell_length_b 3.493
_cell_length_c 7.473
_cell_angle_alpha 90.00
_cell_angle_beta 90.00
_cell_angle_gamma 90.00
_space_group_name_H-M_alt 'P m m 2'
_space_group_IT_number 25
loop_
_space_group_symop_operation_xyz
'x,y,z'
'-x,-y,z'
'-x,y,z'
'x,-y,z'
loop_
_atom_site_label
_atom_site_type_symbol
_atom_site_fract_x
_atom_site_fract_y
_atom_site_fract_z
K1 K 0.000 0.000 0.000
Co1 Co 0.000 0.000 0.502
Co2 Co 0.500 0.500 0.643
Si1 Si 0.500 0.500 0.339
# DOS(E_F)	3.02	states/eV/cell
# calculated density	4.401	Mg/m³
# crystal system	orthorhombic
# energy relative to the elements, uncorrected	0.3248	eV per atom
# magnetic moment	0.650	μB per atom

[6]
# PBE-GGA La3NiAu3, relaxed
data_La3NiAu3
_chemical_formula_sum 'La6 Ni2 Au6'
_cell_length_a 4.014
_cell_length_b 4.669
_cell_length_c 19.270
_cell_angle_alpha 90.00
_cell_angle_beta 90.00
_cell_angle_gamma 90.00
_space_group_name_H-M_alt 'I m m 2'
_space_group_IT_number 44
loop_
_space_group_symop_operation_xyz
'x,y,z'
'-x,-y,z'
'-x,y,z'
'x,-y,z'
'x+1/2,y+1/2,z+1/2'
'-x+1/2,-y+1/2,z+1/2'
'-x+1/2,y+1/2,z+1/2'
'x+1/2,-y+1/2,z+1/2'
loop_
_atom_site_label
_atom_site_type_symbol
_atom_site_fract_x
_atom_site_fract_y
_atom_site_fract_z
La1 La 0.000 0.000 0.000
La2 La 0.000 0.000 0.358
La3 La 0.000 0.500 0.187
Ni1 Ni 0.000 0.500 0.756
Au1 Au 0.000 0.000 0.529
Au2 Au 0.000 0.000 0.826
Au3 Au 0.000 0.500 0.624
# DOS(E_F)	9.46	states/eV/cell
# calculated density	9.807	Mg/m³
# crystal system	orthorhombic
# ΔE_f	-0.71	eV/atom
# magnetic moment	0.000	μB per atom

[7]
# PBE-GGA Li3Ce2Tl4, relaxed
data_Li3Ce2Tl4
_chemical_formula_sum 'Li6 Ce4 Tl8'
_cell_length_a 9.389
_cell_length_b 5.083
_cell_length_c 9.537
_cell_angle_alpha 90.00
_cell_angle_beta 102.16
_cell_angle_gamma 90.00
_space_group_name_H-M_alt 'C 1 2/m 1'
_space_group_IT_number 12
loop_
_space_group_symop_operation_xyz
'x,y,z'
'-x,-y,-z'
'-x,y,-z'
'x,-y,z'
'x+1/2,y+1/2,z'
'-x+1/2,-y+1/2,-z'
'-x+1/2,y+1/2,-z'
'x+1/2,-y+1/2,z'
loop_
_atom_site_label
_atom_site_type_symbol
_atom_site_fract_x
_atom_site_fract_y
_atom_site_fract_z
Li1 Li 0.000 0.000 0.000
Li2 Li 0.117 0.500 0.587
Ce1 Ce 0.212 0.500 0.241
Tl1 Tl 0.077 0.000 0.377
Tl2 Tl 0.141 0.500 0.895
# DOS(E_F)	28.98	states/eV/cell
# calculated density	8.349	Mg/m³
# crystal system	monoclinic
# ΔE_f	-0.21	eV/atom
# magnetic moment	0.230	μB per atom

[8]
# PBE-GGA Cs2ZrI6Br, relaxed
data_Cs2ZrI6Br
_chemical_formula_sum 'Cs4 Zr2 I12 Br2'
_cell_length_a 9.335
_cell_length_b 9.335
_cell_length_c 11.841
_cell_angle_alpha 90.00
_cell_angle_beta 90.00
_cell_angle_gamma 90.00
_space_group_name_H-M_alt 'I 4/m m m'
_space_group_IT_number 139
_space_group_name_Hall '-I 4 2'
loop_
_atom_site_label
_atom_site_type_symbol
_atom_site_fract_x
_atom_site_fract_y
_atom_site_fract_z
Cs1 Cs 0.000 0.500 0.250
Zr1 Zr 0.000 0.000 0.000
I1 I 0.000 0.000 0.245
I2 I 0.218 0.218 0.000
Br1 Br 0.000 0.000 0.500
# DOS(E_F)	5.20	states/eV/cell
# calculated density	3.857	Mg/m³
# crystal system	tetragonal
# energy relative to the elements, uncorrected	-1.0134	eV per atom
# magnetic moment	0.000	μB per atom

[9]
# PBE-GGA Li5Cd2Ga2, relaxed
data_Li5Cd2Ga2
_chemical_formula_sum 'Li20 Cd8 Ga8'
_cell_length_a 13.083
_cell_length_b 7.808
_cell_length_c 6.655
_cell_angle_alpha 90.00
_cell_angle_beta 90.00
_cell_angle_gamma 90.00
_space_group_name_H-M_alt 'I m a 2'
_space_group_IT_number 46
loop_
_space_group_symop_operation_xyz
'x,y,z'
'-x,-y,z'
'-x+1/2,y,z'
'x+1/2,-y,z'
'x+1/2,y+1/2,z+1/2'
'-x+1/2,-y+1/2,z+1/2'
'-x,y+1/2,z+1/2'
'x,-y+1/2,z+1/2'
loop_
_atom_site_label
_atom_site_type_symbol
_atom_site_fract_x
_atom_site_fract_y
_atom_site_fract_z
Li1 Li 0.043 0.190 0.000
Li2 Li 0.150 0.674 0.556
Li3 Li 0.250 0.182 0.010
Cd1 Cd 0.124 0.006 0.694
Ga1 Ga 0.000 0.000 0.325
Ga2 Ga 0.250 0.510 0.849
# DOS(E_F)	9.94	states/eV/cell
# calculated density	3.898	Mg/m³
# crystal system	orthorhombic
# ΔE_f	-0.09	eV/atom
# magnetic moment	0.000	μB per atom

[10]
# PBE-GGA FeSb2Te, relaxed
data_FeSb2Te
_chemical_formula_sum 'Fe4 Sb8 Te4'
_cell_length_a 6.308
_cell_length_b 6.308
_cell_length_c 12.515
_cell_angle_alpha 90.00
_cell_angle_beta 90.00
_cell_angle_gamma 90.00
_space_group_name_H-M_alt 'I -4 2 d'
_space_group_IT_number 122
_space_group_name_Hall 'I -4 2bw'
loop_
_atom_site_label
_atom_site_type_symbol
_atom_site_fract_x
_atom_site_fract_y
_atom_site_fract_z
Fe1 Fe 0.000 0.000 0.000
Sb1 Sb 0.169 0.250 0.125
Te1 Te 0.000 0.000 0.500
# DOS(E_F)	12.12	states/eV/cell
# calculated density	5.695	Mg/m³
# crystal system	tetragonal
# energy relative to the elements, uncorrected	0.3358	eV per atom
# magnetic moment	0.456	μB per atom

[11]
# PBE-GGA LiTaMo, relaxed
data_LiTaMo
_chemical_formula_sum 'Li4 Ta4 Mo4'
_cell_length_a 5.774
_cell_length_b 5.774
_cell_length_c 5.774
_cell_angle_alpha 90.00
_cell_angle_beta 90.00
_cell_angle_gamma 90.00
_space_group_name_H-M_alt 'F -4 3 m'
_space_group_IT_number 216
_space_group_name_Hall 'F -4 2 3'
loop_
_atom_site_label
_atom_site_type_symbol
_atom_site_fract_x
_atom_site_fract_y
_atom_site_fract_z
Li1 Li 0.000 0.000 0.000
Ta1 Ta 0.250 0.250 0.750
Mo1 Mo 0.250 0.250 0.250
# DOS(E_F)	7.26	states/eV/cell
# calculated density	9.794	Mg/m³
# crystal system	cubic
# ΔE_f	1.08	eV/atom
# magnetic moment	0.000	μB per atom

[12]
# PBE-GGA Nd4SmY2Mg, relaxed
data_Nd4SmY2Mg
_chemical_formula_sum 'Nd4 Sm1 Y2 Mg1'
_cell_length_a 5.761
_cell_length_b 5.770
_cell_length_c 7.950
_cell_angle_alpha 90.00
_cell_angle_beta 90.00
_cell_angle_gamma 90.00
_space_group_name_H-M_alt 'P m m m'
_space_group_IT_number 47
loop_
_space_group_symop_operation_xyz
'x,y,z'
'-x,-y,-z'
'-x,-y,z'
'x,y,-z'
'x,-y,-z'
'-x,y,z'
'-x,y,-z'
'x,-y,z'
loop_
_atom_site_label
_atom_site_type_symbol
_atom_site_fract_x
_atom_site_fract_y
_atom_site_fract_z
Nd1 Nd 0.000 0.000 0.233
Nd2 Nd 0.500 0.500 0.234
Sm1 Sm 0.000 0.500 0.500
Y1 Y 0.000 0.500 0.000
Y2 Y 0.500 0.000 0.500
Mg1 Mg 0.500 0.000 0.000
# DOS(E_F)	12.32	states/eV/cell
# calculated density	5.840	Mg/m³
# crystal system	orthorhombic
# ΔE_f	0.06	eV/atom
# magnetic moment	0.000	μB per atom